Computed, not measured: crystalline La4AgI5 at its relaxed geometry at the PBE level of DFT.

Output
- mass density (g cm⁻³) = 5.5
- raw formation energy (meV per atom) = -1085
- space-group type = C2/m
- energy (Ry/atom) = -0.303

a b c (Å): 4.3106 9.4597 10.1037
angles (deg): 101.30 102.32 90.00
Atoms (fractional coordinates):
La 0.3366 0.9295 0.6731
La 0.9974 0.7763 0.9948
La 0.6634 0.0705 0.3269
La 0.0026 0.2237 0.0052
Ag 0.5000 0.0000 0.0000
I 0.8304 0.6662 0.6609
I 0.8318 0.1920 0.6637
I 0.1682 0.8080 0.3363
I 0.5000 0.5000 0.0000
I 0.1696 0.3338 0.3391

Computed, not measured: crystalline TiV2Co4 at its relaxed geometry at the PBE level of DFT.

Output
- mass density (g cm⁻³) = 6.2
- formation energy from the elements (meV/atom) = 892.6
- space-group type = I4/mmm
- energy (Ry/atom) = -0.507

a b c (Å): 4.1611 4.1611 6.6115
angles (deg): 71.66 71.66 90.00
Atoms (fractional coordinates):
Ti 0.0000 0.0000 0.0000
Co 0.2002 0.2002 0.5996
Co 0.7998 0.7998 0.4004
Co 0.0000 0.5000 0.0000
Co 0.5000 0.0000 0.0000
V 0.3725 0.3725 0.2550
V 0.6275 0.6275 0.7450

Computed, not measured: crystalline AcY3Tm6 at its relaxed geometry at the PBE level of DFT.

Output
- mass density (g cm⁻³) = 7.5
- formation energy from the elements (meV/atom) = 353.1
- space-group type = R32
- energy (Ry/atom) = -0.344

a b c (Å): 9.8022 9.8022 6.9218
angles (deg): 44.92 44.92 60.00
Atoms (fractional coordinates):
Ac 0.9000 0.9000 0.3001
Y 0.4001 0.4001 0.7998
Y 0.6389 0.6389 0.0833
Y 0.1612 0.1612 0.5163
Tm 0.9000 0.5533 0.3000
Tm 0.2467 0.9000 0.3000
Tm 0.5533 0.2467 0.3000
Tm 0.0644 0.3999 0.8001
Tm 0.7356 0.0644 0.8001
Tm 0.3999 0.7356 0.8001

Q: Which formula does entry 2 have?
A: TiV2Co4

Q: mass density of number 3 (AcY3Tm6)?
A: 7.5 g cm⁻³